Below is a relaxed SrZnBr4 crystal, with properties calculated at the PBE level. Values from VASP.

Geometry as Quantum ESPRESSO input:
```
&SYSTEM
  ibrav = 0, nat = 12, ntyp = 3
/
ATOMIC_SPECIES
Sr 87.62 Sr.upf
Zn 65.41 Zn.upf
Br 79.90 Br.upf
CELL_PARAMETERS angstrom
7.330 0.000 0.000
0.000 4.236 0.000
-7.012 0.000 13.635
ATOMIC_POSITIONS crystal
Sr 0.000 0.000 0.000
Sr 0.000 0.500 0.500
Zn 0.500 0.000 0.500
Zn 0.500 0.500 0.000
Br 0.101 0.001 0.386
Br 0.101 0.499 0.886
Br 0.468 0.562 0.611
Br 0.468 0.938 0.111
Br 0.532 0.062 0.889
Br 0.532 0.438 0.389
Br 0.899 0.501 0.114
Br 0.899 0.999 0.614
```

Calculated values
energy relative to the elements, uncorrected = -1397 meV/atom
ρ = 3.71 g cm⁻³
total DFT energy (no corrections) = -3.00 eV per atom